No. 1
Material: Te2PtAu
Method: DFT, PBE
State: relaxed

Cell: 7.1923 7.1923 7.1923 Å, 32.92 32.92 32.92°
Sites, in units of the cell vectors:
Pt: 0.7530 0.7530 0.7530
Te: 0.2279 0.2279 0.2279
Te: 0.0266 0.0266 0.0266
Au: 0.4925 0.4925 0.4925

Output
Its crystal system is trigonal. As for the density of states at the Fermi level: 0.381 states/eV per atom. The spin magnetization comes out at 0.000 μB/atom. For the uncorrected formation energy, the calculation gives -0.68 eV per formula unit.

No. 2
Material: ZnSe
Method: DFT, PBE
State: relaxed

Cell: 10.2693 10.2693 10.2693 Å, 159.93 159.93 28.53°
Sites, in units of the cell vectors:
Se: 0.0000 0.0000 0.0000
Zn: 0.7500 0.2500 0.5000
Se: 0.2500 0.7500 0.5000
Zn: 0.5000 0.5000 0.0000

Output
Its crystal system is tetragonal. As for the density of states at the Fermi level: 0.342 states/eV per atom. The spin magnetization comes out at 0.000 μB/atom. For the uncorrected formation energy, the calculation gives -0.36 eV per formula unit.

No. 3
Material: YPuNp
Method: DFT, PBE
State: relaxed

Cell: 4.3249 5.0567 6.3437 Å, 88.77 90.00 90.00°
Sites, in units of the cell vectors:
Pu: 0.2500 0.3303 0.0141
Y: 0.7500 0.2582 0.6037
Np: 0.2500 0.8725 0.8812
Y: 0.2500 0.7418 0.3963
Pu: 0.7500 0.6697 0.9859
Np: 0.7500 0.1275 0.1188

Output
Its crystal system is monoclinic. For the formation enthalpy at 0 K, the calculation gives 0.229 eV per atom. As for the density of states at the Fermi level: 2.150 states/eV per atom. The spin magnetization comes out at 0.000 μB/atom.

No. 4
Material: La4Cd2InHg
Method: DFT, PBE
State: relaxed

Cell: 5.5636 5.5636 9.6421 Å, 73.23 73.23 60.00°
Sites, in units of the cell vectors:
La: 0.8737 0.8737 0.3790
Cd: 0.7481 0.7481 0.7556
Hg: 0.5000 0.5000 0.5000
In: 0.0000 0.0000 0.0000
Cd: 0.2519 0.2519 0.2444
La: 0.6236 0.6236 0.1291
La: 0.1263 0.1263 0.6210
La: 0.3764 0.3764 0.8709

Output
Its crystal system is trigonal. For the formation enthalpy at 0 K, the calculation gives -0.419 eV per atom. As for the density of states at the Fermi level: 1.338 states/eV per atom. The spin magnetization comes out at 0.146 μB/atom.

No. 5
Material: GaAsH4O6
Method: DFT, PBE
State: relaxed

Cell: 8.9973 9.9135 10.5824 Å, 90.00 90.00 90.00°
Sites, in units of the cell vectors:
H: 0.6068 0.8725 0.9743
O: 0.0136 0.8045 0.2966
As: 0.0439 0.8647 0.1479
O: 0.0057 0.9681 0.8656
O: 0.9864 0.3045 0.2034
H: 0.1703 0.3303 0.8670
H: 0.7041 0.0120 0.9348
H: 0.2959 0.5120 0.5652
O: 0.5497 0.2582 0.0430
Ga: 0.3641 0.6902 0.1265
O: 0.2685 0.3508 0.1144
O: 0.7685 0.3508 0.3856
H: 0.1068 0.6275 0.0257
As: 0.5439 0.8647 0.3521
H: 0.2041 0.0120 0.5652
H: 0.8932 0.1275 0.4743
H: 0.3932 0.1275 0.0257
O: 0.4943 0.0319 0.3656
O: 0.4503 0.7418 0.9570
O: 0.7157 0.1202 0.2060
Ga: 0.1359 0.1902 0.1265
H: 0.1703 0.1697 0.3670
Ga: 0.3641 0.8098 0.6265
H: 0.3932 0.3725 0.5257
As: 0.9561 0.1353 0.8521
O: 0.0497 0.2418 0.9570
O: 0.2315 0.8508 0.1144
O: 0.7943 0.0853 0.4647
O: 0.7057 0.5853 0.4647
O: 0.5136 0.8045 0.2034
H: 0.8297 0.8303 0.6330
H: 0.6703 0.3303 0.6330
As: 0.0439 0.6353 0.6479
O: 0.0057 0.5319 0.3656
O: 0.7943 0.4147 0.9647
O: 0.9943 0.0319 0.1344
O: 0.4943 0.4681 0.8656
H: 0.3206 0.0956 0.3138
O: 0.5057 0.5319 0.1344
Ga: 0.8641 0.8098 0.8735
O: 0.4864 0.1955 0.7966
O: 0.2943 0.0853 0.0353
H: 0.3206 0.4044 0.8138
O: 0.2157 0.3798 0.7940
As: 0.4561 0.1353 0.6479
O: 0.7843 0.6202 0.2060
H: 0.7041 0.4880 0.4348
O: 0.9503 0.7582 0.0430
O: 0.2843 0.8798 0.7940
O: 0.7315 0.8508 0.3856
H: 0.6068 0.6275 0.4743
O: 0.5136 0.6955 0.7034
As: 0.5439 0.6353 0.8521
O: 0.9943 0.4681 0.6344
O: 0.2057 0.9147 0.5353
H: 0.8932 0.3725 0.9743
Ga: 0.8641 0.6902 0.3735
Ga: 0.6359 0.3098 0.8735
H: 0.1794 0.9044 0.8138
H: 0.1794 0.5956 0.3138
Ga: 0.1359 0.3098 0.6265
O: 0.0136 0.6955 0.7966
O: 0.9503 0.7418 0.5430
H: 0.6703 0.1697 0.1330
H: 0.2041 0.4880 0.0652
O: 0.7685 0.1492 0.8856
O: 0.7843 0.8798 0.7060
O: 0.2157 0.1202 0.2940
H: 0.2959 0.9880 0.0652
O: 0.5057 0.9681 0.6344
As: 0.4561 0.3647 0.1479
O: 0.2685 0.1492 0.6144
O: 0.2943 0.4147 0.5353
H: 0.8206 0.4044 0.6862
H: 0.3297 0.6697 0.3670
H: 0.7959 0.5120 0.9348
H: 0.7959 0.9880 0.4348
O: 0.5497 0.2418 0.5430
O: 0.7315 0.6492 0.8856
O: 0.7157 0.3798 0.7060
O: 0.2315 0.6492 0.6144
H: 0.6794 0.5956 0.1862
As: 0.9561 0.3647 0.3521
H: 0.8297 0.6697 0.1330
O: 0.7057 0.9147 0.9647
H: 0.6794 0.9044 0.6862
O: 0.9864 0.1955 0.7034
Ga: 0.6359 0.1902 0.3735
O: 0.4864 0.3045 0.2966
H: 0.8206 0.0956 0.1862
H: 0.1068 0.8725 0.5257
O: 0.0497 0.2582 0.4570
O: 0.4503 0.7582 0.4570
O: 0.2843 0.6202 0.2940
O: 0.2057 0.5853 0.0353
H: 0.3297 0.8303 0.8670

Output
Its crystal system is orthorhombic. As for the uncorrected energy: -5.494 eV per atom. As for the density of states at the Fermi level: 0.000 states/eV per atom. The spin magnetization comes out at 0.000 μB/atom.

No. 6
Material: SnCl
Method: DFT, PBE
State: relaxed

Cell: 12.1348 12.1348 3.5592 Å, 90.00 90.00 90.00°
Sites, in units of the cell vectors:
Cl: 0.4020 0.1382 0.0000
Sn: 0.8395 0.0444 0.0000
Sn: 0.5342 0.7144 0.5000
Sn: 0.0444 0.1605 0.0000
Cl: 0.2065 0.3415 0.5000
Sn: 0.9556 0.8395 0.0000
Sn: 0.1605 0.9556 0.0000
Cl: 0.8618 0.4020 0.0000
Sn: 0.4658 0.2856 0.5000
Cl: 0.6585 0.2065 0.5000
Sn: 0.2856 0.5342 0.5000
Cl: 0.3415 0.7935 0.5000
Cl: 0.7935 0.6585 0.5000
Cl: 0.1382 0.5980 0.0000
Sn: 0.7144 0.4658 0.5000
Cl: 0.5980 0.8618 0.0000

Output
Its crystal system is tetragonal. As for the density of states at the Fermi level: 0.552 states/eV per atom. The spin magnetization comes out at 0.000 μB/atom. For the uncorrected formation energy, the calculation gives -0.94 eV per formula unit.

No. 7
Material: CsLiTe2
Method: DFT, PBE
State: relaxed

Cell: 8.9287 4.8395 13.2016 Å, 90.00 90.00 90.00°
Sites, in units of the cell vectors:
Te: 0.3004 0.2500 0.6716
Cs: 0.3626 0.2500 0.3781
Li: 0.4927 0.2500 0.8357
Li: 0.0073 0.7500 0.3357
Li: 0.5073 0.7500 0.1643
Cs: 0.1374 0.7500 0.8781
Te: 0.0927 0.7500 0.5498
Te: 0.4073 0.2500 0.0498
Cs: 0.6374 0.7500 0.6219
Te: 0.5927 0.7500 0.9502
Te: 0.8004 0.2500 0.8284
Cs: 0.8626 0.2500 0.1219
Te: 0.1996 0.7500 0.1716
Li: 0.9927 0.2500 0.6643
Te: 0.9073 0.2500 0.4502
Te: 0.6996 0.7500 0.3284

Output
Its crystal system is orthorhombic. The calculation puts the offset from the most stable computed form at 55 meV/atom. As for the density of states at the Fermi level: 0.000 states/eV per atom. The spin magnetization comes out at 0.000 μB/atom. For the uncorrected formation energy, the calculation gives -3.08 eV per formula unit.

No. 8
Material: AlCd5Hg8
Method: DFT, PBE
State: relaxed

Cell: 7.7334 7.7334 7.7334 Å, 104.25 104.25 120.52°
Sites, in units of the cell vectors:
Cd: 0.5000 0.5000 0.0000
Al: 0.2500 0.7500 0.5000
Hg: 0.5252 0.8911 0.8997
Cd: 0.9890 0.2305 0.9403
Hg: 0.1089 0.0086 0.6341
Hg: 0.7651 0.4522 0.3683
Hg: 0.6032 0.2349 0.6872
Hg: 0.5478 0.9160 0.3128
Hg: 0.3745 0.4748 0.3659
Cd: 0.7695 0.7097 0.7585
Cd: 0.2903 0.0487 0.0597
Hg: 0.9914 0.6255 0.1003
Cd: 0.9513 0.0110 0.2415
Hg: 0.0840 0.3968 0.6317

Output
Its crystal system is tetragonal. For the formation enthalpy at 0 K, the calculation gives 0.055 eV per atom. As for the density of states at the Fermi level: 0.464 states/eV per atom. The spin magnetization comes out at 0.000 μB/atom.

No. 9
Material: HfSb3Au
Method: DFT, PBE
State: relaxed

Cell: 5.2921 5.2921 5.2921 Å, 90.00 90.00 90.00°
Sites, in units of the cell vectors:
Sb: 0.5000 0.0000 0.0000
Sb: 0.0000 0.5000 0.0000
Sb: 0.0000 0.0000 0.5000
Au: 0.0000 0.0000 0.0000
Hf: 0.5000 0.5000 0.5000

Output
Its crystal system is cubic. The calculation puts the offset from the most stable computed form at 320 meV/atom. As for the density of states at the Fermi level: 1.024 states/eV per atom. The spin magnetization comes out at 0.000 μB/atom. For the uncorrected formation energy, the calculation gives 3.93 eV per formula unit.

No. 10
Material: NdMg2GaAg4
Method: DFT, PBE
State: relaxed

Cell: 4.6563 4.6563 9.2657 Å, 75.45 75.45 60.00°
Sites, in units of the cell vectors:
Mg: 0.7578 0.7578 0.7265
Ga: 0.5000 0.5000 0.5000
Mg: 0.2422 0.2422 0.2735
Ag: 0.6024 0.6024 0.1927
Ag: 0.3976 0.3976 0.8073
Ag: 0.1297 0.1297 0.6109
Ag: 0.8703 0.8703 0.3891
Nd: 0.0000 0.0000 0.0000

Output
Its crystal system is trigonal. For the formation enthalpy at 0 K, the calculation gives -0.185 eV per atom. As for the density of states at the Fermi level: 0.441 states/eV per atom. The spin magnetization comes out at 0.000 μB/atom.

No. 11
Material: SrLiFe
Method: DFT, PBE
State: relaxed

Cell: 3.5851 3.5851 7.0548 Å, 90.00 90.00 120.00°
Sites, in units of the cell vectors:
Sr: 0.6667 0.3333 0.6996
Fe: 0.0000 0.0000 0.0282
Li: 0.3333 0.6667 0.2722

Output
Its crystal system is trigonal. For the formation enthalpy at 0 K, the calculation gives 0.780 eV per atom. The calculation puts the offset from the most stable computed form at 206 meV/atom. As for the density of states at the Fermi level: 0.831 states/eV per atom. The spin magnetization comes out at 0.924 μB/atom.

No. 12
Material: Rb2FeNiBr6
Method: DFT, PBE
State: relaxed

Cell: 7.3665 7.3665 7.3664 Å, 60.00 60.00 90.00°
Sites, in units of the cell vectors:
Br: 0.7508 0.7508 0.0000
Rb: 0.7500 0.2500 0.5000
Br: 0.2492 0.2492 0.0000
Rb: 0.2500 0.7500 0.5000
Fe: 0.5000 0.5000 0.0000
Br: 0.2492 0.7508 0.0000
Br: 0.2493 0.2493 0.5014
Br: 0.7508 0.2492 0.0000
Ni: 0.0000 0.0000 0.0000
Br: 0.7507 0.7507 0.4986

Output
Its crystal system is cubic. As for the density of states at the Fermi level: 0.785 states/eV per atom. The spin magnetization comes out at 0.260 μB/atom. For the uncorrected formation energy, the calculation gives -8.86 eV per formula unit.